This record from Alexandria via LeMat-Bulk describes a geometry-optimized SrEuPb2 structure. The functional is PBEsol.

Properties
formation energy from the elements = -544 meV/atom

Cell: 5.6278 5.6278 5.6278 Å, 90.34 119.81 119.81°
Atoms (fractional coordinates):
Pb  0.5000  0.7500  0.2500
Pb  0.5000  0.2500  0.7500
Sr  0.0000  0.5000  0.5000
Eu  0.0000  0.0000  0.0000